The following is a DFT calculation (GGA+U) of crystalline PmNi3C4O12 at its relaxed geometry.

Output
* total magnetization: 5.00 μB per formula unit
* mass density: 4.39 g/cm3
* SG: R32 (155)
* E_tot: -138.7 eV for the cell shown
* density of states at the Fermi level: 0.2291 states/eV/atom

Lattice parameters (Å, degrees): 6.1531 6.1531 6.1531 102.77 102.77 102.77
Site moments in Bohr magnetons follow the coordinates.
Fractional coordinates of all 20 atoms:
1 C 0.9548 0.0452 0.5000  -0.03
2 Ni 0.5429 0.4571 0.0000  1.59
3 O 0.5000 0.0896 0.9104  0.03
4 O 0.1865 0.3709 0.9642  0.02
5 O 0.9642 0.1865 0.3709  0.02
6 Ni 0.0000 0.5429 0.4571  1.59
7 Ni 0.4571 0.0000 0.5429  1.59
8 O 0.0896 0.9104 0.5000  0.03
9 O 0.6291 0.8135 0.0358  0.02
10 C 0.5000 0.9548 0.0452  -0.03
11 C 0.5000 0.5000 0.5000  0.01
12 O 0.0358 0.6291 0.8135  0.02
13 O 0.3648 0.6352 0.5000  0.04
14 O 0.5000 0.3648 0.6352  0.04
15 Pm 0.0000 0.0000 0.0000  -0.01
16 O 0.8135 0.0358 0.6291  0.02
17 O 0.9104 0.5000 0.0896  0.03
18 C 0.0452 0.5000 0.9548  -0.03
19 O 0.3709 0.9642 0.1865  0.02
20 O 0.6352 0.5000 0.3648  0.04